Model w:
PBE-GGA TaCuP2, relaxed; magnetization = 0.0 μB/f.u.
1.0
2.782 0.011 0.000
-0.467 2.743 0.000
0.000 0.000 9.206
Cu P Ta
1 2 1
Cartesian
1.157 1.377 6.841
0.000 0.000 8.409
1.157 1.377 2.939
0.000 0.000 4.826


Model x:
PBE-GGA TaCuP2, relaxed; magnetization = 0.0 μB/f.u.
1.0
4.349 0.000 0.000
2.175 3.766 0.000
2.175 1.255 3.551
Cu P Ta
1 2 1
Cartesian
4.349 2.511 1.775
0.000 0.000 0.000
6.524 3.766 2.663
2.175 1.255 0.888


Stability summary: most stable model w, least stable model x.


Model w:
PBE-GGA TaCuP2, relaxed; magnetization = 0.0 μB/f.u.
1.0
3.224 0.000 0.000
0.000 3.247 0.052
0.000 2.615 5.532
Cu P Ta
1 2 1
Cartesian
1.612 4.396 4.188
0.000 3.097 0.087
0.000 3.081 2.757
1.612 1.465 1.396


Model x:
PBE-GGA TaCuP2, relaxed; magnetization = 0.0 μB/f.u.
1.0
3.416 0.000 0.000
0.000 3.417 0.000
0.000 0.000 5.080
Cu P Ta
1 2 1
Cartesian
1.708 1.708 4.091
0.000 0.000 4.745
1.708 1.708 1.511
0.000 0.000 2.353


Stability summary: most stable model x, least stable model w.


Model w:
PBE-GGA TaCuP2, relaxed; magnetization = 0.0 μB/f.u.
1.0
-3.931 -0.535 1.779
-3.574 0.698 -2.375
-2.496 -3.349 -1.208
P Cu Ta
2 1 1
Cartesian
-2.500 -0.796 -0.451
-7.500 -2.389 -1.353
0.000 0.000 0.000
-5.000 -1.592 -0.902


Model x:
PBE-GGA TaCuP2, relaxed; magnetization = 0.0 μB/f.u.
1.0
-2.835 -4.505 1.318
-0.202 -1.421 -5.292
3.097 -5.704 -1.428
P Cu Ta
4 2 2
Cartesian
-0.986 -4.361 -0.212
0.257 -2.936 -3.483
1.181 -6.519 -2.630
-0.333 -9.444 -4.480
-1.519 -2.963 -1.987
0.688 -5.044 -4.354
0.000 0.000 0.000
-0.629 -6.586 -1.049


Stability summary: most stable model x, least stable model w.